(1)
Material: CsK2Na
Method: DFT, PBE
State: optimized geometry

Cell and atoms, written as extended XYZ:
```
8
Lattice="5.825 0.000 0.000 0.000 12.696 0.000 -2.880 0.000 7.915" Properties=species:S:1:pos:R:3 pbc="T T T"
Cs 0.004 3.174 0.924
Cs 2.940 9.522 6.991
K 0.020 0.657 5.612
K 0.020 5.691 5.612
K 2.924 7.005 2.303
K 2.924 12.039 2.303
Na 0.022 9.522 3.665
Na 2.923 3.174 4.250
```

ΔE_f ... 0.014 eV/atom
Magnetization ... 0.00 μB per formula unit
DFT total energy ... -1.08 eV per atom

***

(2)
Material: Nd3Cd5Rh2
Method: DFT, PBE
State: optimized geometry

Cell and atoms, written as extended XYZ:
```
20
Lattice="-6.219 6.279 3.160 6.219 -6.279 3.160 6.219 6.279 -3.160" Properties=species:S:1:pos:R:3 pbc="T T T"
Nd 8.114 3.111 0.000
Nd 0.000 0.000 1.580
Nd 1.894 3.169 0.000
Nd 4.325 3.111 3.160
Nd 0.000 0.000 4.740
Nd -1.894 3.169 3.160
Cd 5.007 2.004 0.000
Cd 3.270 0.000 1.580
Cd 6.219 0.000 1.580
Cd 9.169 0.000 1.580
Cd 5.007 -2.004 3.160
Cd 1.212 8.283 0.000
Cd -2.949 6.279 1.580
Cd 0.000 6.279 1.580
Cd 2.949 6.279 1.580
Cd 1.212 4.276 3.160
Rh 10.692 1.696 0.000
Rh 4.473 4.584 0.000
Rh 1.746 1.696 3.160
Rh -4.473 4.584 3.160
```

ΔE_f ... -0.303 eV/atom
Magnetization ... 0.00 μB per formula unit
DFT total energy ... -3.66 eV per atom

***

(3)
Material: Co2Ni2Pd
Method: DFT, PBE
State: optimized geometry

Cell and atoms, written as extended XYZ:
```
5
Lattice="-1.692 1.692 5.607 1.692 -1.692 5.607 1.692 1.692 -5.607" Properties=species:S:1:pos:R:3 pbc="T T T"
Co 1.692 0.000 2.804
Co 0.000 1.692 2.804
Ni 0.000 0.000 1.142
Ni 0.000 0.000 10.073
Pd 0.000 0.000 5.607
```

ΔE_f ... 0.314 eV/atom
Magnetization ... 5.36 μB per formula unit
DFT total energy ... -5.88 eV per atom

***

(4)
Material: PuInSn
Method: DFT, PBE
State: optimized geometry

Cell and atoms, written as extended XYZ:
```
9
Lattice="7.862 0.000 0.000 -3.931 6.809 0.000 0.000 0.000 4.555" Properties=species:S:1:pos:R:3 pbc="T T T"
Pu -2.364 4.094 0.000
Pu 1.567 2.715 0.000
Pu 4.728 0.000 0.000
In -1.011 1.752 2.278
In 2.023 0.000 2.278
In 2.920 5.057 2.278
Sn 0.000 0.000 0.000
Sn 0.000 4.539 2.278
Sn 3.931 2.270 2.278
```

ΔE_f ... -0.182 eV/atom
Magnetization ... 5.98 μB per formula unit
DFT total energy ... -7.21 eV per atom

***

(5)
Material: LaPaTlO6
Method: DFT, PBE
State: optimized geometry

Cell and atoms, written as extended XYZ:
```
9
Lattice="5.826 0.000 0.000 -2.913 5.045 0.000 0.000 0.000 4.905" Properties=species:S:1:pos:R:3 pbc="T T T"
La 0.000 0.000 0.000
Pa 2.913 1.682 2.453
Tl 0.000 3.364 0.000
O 2.071 0.083 1.236
O 1.108 1.752 3.669
O 3.755 0.083 3.669
O 1.950 3.210 1.236
O 4.718 1.752 1.236
O 3.877 3.210 3.669
```

Magnetization ... 0.00 μB per formula unit
Formation energy (no corrections) ... -2.361 eV/atom
DFT total energy ... -7.53 eV per atom

***

(6)
Material: MgAgBiAu
Method: DFT, PBE
State: optimized geometry

Cell and atoms, written as extended XYZ:
```
4
Lattice="0.000 3.513 3.513 3.513 0.000 3.513 3.513 3.513 0.000" Properties=species:S:1:pos:R:3 pbc="T T T"
Mg 0.000 0.000 0.000
Ag 3.513 3.513 3.513
Bi 1.756 1.756 1.756
Au 5.269 5.269 5.269
```

ΔE_f ... -0.064 eV/atom
Magnetization ... 0.00 μB per formula unit
DFT total energy ... -2.97 eV per atom